DFT (PBE-GGA) results for a geometry-optimized V3Si2H2 structure.

Cell lengths 4.631, 6.818, 4.778 Å; angles 90.00, 72.63, 90.00 degrees
Element x y z (fractional)
V (0.500, 0.500, 0.000)
V (0.000, 0.000, 0.000)
V (0.704, 0.132, 0.560)
V (0.796, 0.632, 0.440)
V (0.204, 0.368, 0.560)
V (0.296, 0.868, 0.440)
Si (0.012, 0.656, 0.877)
Si (0.512, 0.844, 0.877)
Si (0.488, 0.156, 0.123)
Si (0.988, 0.344, 0.123)
H (0.571, 0.397, 0.634)
H (0.929, 0.897, 0.366)
H (0.071, 0.103, 0.634)
H (0.429, 0.603, 0.366)

Its total energy is -92.79 eV for the cell shown. For the spin magnetization, the calculation gives 0.0 μB per formula unit. The space-group type is No. 14.